No. 1
HoLuNiGe | PBE-GGA | optimized geometry

formation energy from the elements: -2.247 eV/f.u.
E: -5.436 eV per atom
volume: 81.0 Å³/f.u.

a = 4.857 Å, b = 4.857 Å, c = 4.857 Å
α = 60.00°, β = 60.00°, γ = 60.00°
Element x y z (fractional)
Ho: 0.000 0.000 0.000
Lu: 0.500 0.500 0.500
Ni: 0.750 0.750 0.750
Ge: 0.250 0.250 0.250

---

No. 2
YGa6S8 | PBE-GGA | optimized geometry

E: -4.383 eV per atom
volume: 316.2 Å³/f.u.
energy relative to the elements, uncorrected: -0.540 eV/atom

a = 6.831 Å, b = 6.831 Å, c = 6.831 Å
α = 94.14°, β = 94.14°, γ = 94.14°
Element x y z (fractional)
Y: 0.000 0.000 0.000
Ga: 0.258 0.618 0.326
Ga: 0.326 0.258 0.618
Ga: 0.382 0.674 0.742
Ga: 0.618 0.326 0.258
Ga: 0.674 0.742 0.382
Ga: 0.742 0.382 0.674
S: 0.071 0.364 0.799
S: 0.201 0.929 0.636
S: 0.266 0.266 0.266
S: 0.364 0.799 0.071
S: 0.636 0.201 0.929
S: 0.734 0.734 0.734
S: 0.799 0.071 0.364
S: 0.929 0.636 0.201

---

No. 3
Cs2LiAs2S6 | PBE-GGA | optimized geometry

E: -3.967 eV per atom
volume: 345.6 Å³/f.u.
energy relative to the elements, uncorrected: -0.541 eV/atom

a = 7.615 Å, b = 7.615 Å, c = 7.590 Å
α = 104.87°, β = 104.87°, γ = 55.11°
Element x y z (fractional)
Cs: 0.203 0.203 0.189
Cs: 0.797 0.797 0.811
Li: 0.000 0.000 0.500
As: 0.476 0.476 0.796
As: 0.524 0.524 0.204
S: 0.187 0.707 0.231
S: 0.293 0.813 0.769
S: 0.311 0.311 0.706
S: 0.689 0.689 0.294
S: 0.707 0.187 0.231
S: 0.813 0.293 0.769

---

No. 4
BeTlP2 | PBE-GGA | optimized geometry

formation energy from the elements: 1.052 eV/f.u.
E: -3.965 eV per atom
volume: 74.4 Å³/f.u.

a = 3.213 Å, b = 3.213 Å, c = 7.202 Å
α = 90.00°, β = 90.00°, γ = 90.00°
Element x y z (fractional)
Be: 0.000 0.000 0.000
Tl: 0.000 0.000 0.500
P: 0.500 0.500 0.146
P: 0.500 0.500 0.854

---

No. 5
NaTi6S8 | PBE-GGA | optimized geometry

E: -6.763 eV per atom
volume: 304.5 Å³/f.u.
energy relative to the elements, uncorrected: -1.315 eV/atom

a = 6.735 Å, b = 6.735 Å, c = 6.735 Å
α = 92.67°, β = 92.67°, γ = 92.67°
Element x y z (fractional)
Na: 0.000 0.000 0.000
Ti: 0.197 0.566 0.410
Ti: 0.410 0.197 0.566
Ti: 0.434 0.590 0.803
Ti: 0.566 0.410 0.197
Ti: 0.590 0.803 0.434
Ti: 0.803 0.434 0.590
S: 0.135 0.383 0.712
S: 0.248 0.248 0.248
S: 0.288 0.865 0.617
S: 0.383 0.712 0.135
S: 0.617 0.288 0.865
S: 0.712 0.135 0.383
S: 0.752 0.752 0.752
S: 0.865 0.617 0.288

---

No. 6
Tb5AgRu4 | PBE-GGA | optimized geometry

formation energy from the elements: -3.475 eV/f.u.
E: -6.658 eV per atom
volume: 208.0 Å³/f.u.

a = 3.427 Å, b = 3.427 Å, c = 17.713 Å
α = 90.00°, β = 90.00°, γ = 90.00°
Element x y z (fractional)
Tb: 0.000 0.000 0.000
Tb: 0.000 0.000 0.191
Tb: 0.000 0.000 0.382
Tb: 0.000 0.000 0.618
Tb: 0.000 0.000 0.809
Ag: 0.500 0.500 0.500
Ru: 0.500 0.500 0.096
Ru: 0.500 0.500 0.292
Ru: 0.500 0.500 0.708
Ru: 0.500 0.500 0.904

---

No. 7
Lu2Br2O | PBE-GGA | optimized geometry

E: -4.684 eV per atom
volume: 219.8 Å³/f.u.
energy relative to the elements, uncorrected: -1.215 eV/atom

a = 4.025 Å, b = 4.025 Å, c = 13.567 Å
α = 90.00°, β = 90.00°, γ = 90.00°
Element x y z (fractional)
Lu: 0.000 0.000 0.147
Lu: 0.000 0.000 0.853
Br: 0.000 0.000 0.336
Br: 0.000 0.000 0.664
O: 0.000 0.000 0.000

---

No. 8
DyMn2Ni5 | PBE-GGA | optimized geometry

formation energy from the elements: -0.165 eV/f.u.
E: -6.502 eV per atom
volume: 112.7 Å³/f.u.

a = 6.008 Å, b = 6.008 Å, c = 6.008 Å
α = 144.57°, β = 113.52°, γ = 77.65°
Element x y z (fractional)
Dy: 0.000 0.000 0.000
Mn: 0.253 0.753 0.500
Mn: 0.747 0.247 0.500
Ni: 0.177 0.366 0.811
Ni: 0.446 0.634 0.811
Ni: 0.500 0.000 0.500
Ni: 0.554 0.366 0.189
Ni: 0.823 0.634 0.189

---

Let's list DOS(E_F) in order: 0.3009 0.6367 0.4023 0.3819 0.7434 0.3475 0.3331 0.8362 states/eV/atom.